VASP calculation (GGA-PBE) on a relaxed structure of LiHgW2.

```
4
Lattice="1.420 0.820 9.934 -1.420 0.820 9.934 0.000 -1.639 9.934" Properties=species:S:1:pos:R:3 pbc="T T T"
Li 0.000 0.000 0.000
Hg 0.000 0.000 14.901
W 0.000 0.000 7.466
W 0.000 0.000 22.337
```

## Properties
Total energy, eV/cell: -24.9
Total moment, μB per cell: 0.0

VASP calculation (GGA-PBE) on a relaxed structure of LiHg2W.

```
4
Lattice="3.325 -3.796 0.000 3.325 3.796 0.000 0.000 0.000 2.889" Properties=species:S:1:pos:R:3 pbc="T T T"
Li 0.000 0.000 0.000
Hg 1.663 1.898 1.445
Hg 1.663 -1.898 1.445
W 3.325 0.000 0.000
```

## Properties
Total moment, μB per cell: 0.6
Energy relative to the lowest polymorph listed for this composition, meV/atom: 0

VASP calculation (GGA-PBE) on a relaxed structure of Li3HgW.

```
5
Lattice="4.782 0.000 0.000 0.000 4.782 0.000 0.000 0.000 4.782" Properties=species:S:1:pos:R:3 pbc="T T T"
Li 0.000 0.000 2.391
Li 0.000 2.391 0.000
Li 2.391 0.000 0.000
Hg 0.000 0.000 0.000
W 2.391 2.391 2.391
```

## Properties
Total moment, μB per cell: 3.7
Energy relative to the lowest polymorph listed for this composition, meV/atom: 0

VASP calculation (GGA-PBE) on a relaxed structure of LiHgW2.

```
4
Lattice="1.517 -2.288 0.000 1.517 2.288 0.000 0.000 0.000 9.956" Properties=species:S:1:pos:R:3 pbc="T T T"
Li 0.000 0.000 0.000
Hg 0.000 0.000 4.978
W 1.517 0.000 2.424
W 1.517 0.000 7.533
```

## Properties
Total energy, eV/cell: -25.0
Total moment, μB per cell: 0.0

VASP calculation (GGA-PBE) on a relaxed structure of LiHgW2.

```
8
Lattice="-1.851 1.851 10.361 1.851 -1.851 10.361 1.851 1.851 -10.361" Properties=species:S:1:pos:R:3 pbc="T T T"
Li 0.000 0.000 0.000
Li 0.000 1.851 5.180
Hg 1.851 0.000 5.180
Hg 0.000 0.000 10.361
W 2.776 0.909 -2.590
W 0.909 0.925 2.590
W -0.925 0.942 7.771
W 0.942 0.925 12.951
```

## Properties
Total energy, eV/cell: -49.7
Total moment, μB per cell: 0.0

VASP calculation (GGA-PBE) on a relaxed structure of Li2HgW.

```
4
Lattice="2.667 0.000 0.000 0.000 4.810 0.000 -0.197 0.000 5.297" Properties=species:S:1:pos:R:3 pbc="T T T"
Li 0.335 0.000 1.177
Li 2.135 0.000 4.120
Hg -0.099 2.405 2.649
W 1.333 2.405 0.000
```

## Properties
Total energy, eV/cell: -15.3
Total moment, μB per cell: 0.0

VASP calculation (GGA-PBE) on a relaxed structure of LiHgW2.

```
4
Lattice="2.734 0.000 0.000 0.000 4.282 0.000 -1.338 0.000 5.749" Properties=species:S:1:pos:R:3 pbc="T T T"
Li 0.000 0.000 0.000
Hg -0.404 2.141 4.477
W 0.991 0.000 2.700
W 1.895 2.141 1.502
```

## Properties
Total energy, eV/cell: -26.4
Total moment, μB per cell: 0.0

VASP calculation (GGA-PBE) on a relaxed structure of LiHgW2.

```
4
Lattice="2.733 0.000 0.000 0.000 4.609 0.000 0.000 0.000 5.261" Properties=species:S:1:pos:R:3 pbc="T T T"
Li 0.000 0.000 0.000
Hg 0.000 0.000 2.630
W 1.367 2.305 1.256
W 1.367 2.305 4.005
```

## Properties
Total energy, eV/cell: -25.6
Total moment, μB per cell: 0.0

VASP calculation (GGA-PBE) on a relaxed structure of LiHg2W.

```
4
Lattice="2.829 0.000 0.000 0.000 2.829 0.000 0.000 0.000 9.374" Properties=species:S:1:pos:R:3 pbc="T T T"
Li 0.000 0.000 0.000
Hg 0.000 0.000 4.446
Hg 1.414 1.414 7.256
W 1.414 1.414 2.165
```

## Properties
Total moment, μB per cell: 0.0
Energy relative to the lowest polymorph listed for this composition, meV/atom: 116

VASP calculation (GGA-PBE) on a relaxed structure of LiHgW2.

```
4
Lattice="1.604 -2.303 0.000 1.604 2.303 0.000 0.000 0.000 9.349" Properties=species:S:1:pos:R:3 pbc="T T T"
Li 0.000 0.000 0.000
Hg 1.604 0.000 2.297
W 0.000 0.000 4.909
W 1.604 0.000 7.019
```

## Properties
Total energy, eV/cell: -26.8
Total moment, μB per cell: 0.0

VASP calculation (GGA-PBE) on a relaxed structure of Li2HgW.

```
4
Lattice="2.776 0.000 0.000 0.000 2.776 0.000 0.000 0.000 8.464" Properties=species:S:1:pos:R:3 pbc="T T T"
Li 0.000 0.000 2.102
Li 0.000 0.000 6.361
Hg 1.388 1.388 4.232
W 1.388 1.388 0.000
```

## Properties
Total energy, eV/cell: -15.8
Total moment, μB per cell: 0.0

VASP calculation (GGA-PBE) on a relaxed structure of LiHgW2.

```
4
Lattice="2.729 0.000 0.000 0.000 2.729 0.000 0.000 0.000 9.077" Properties=species:S:1:pos:R:3 pbc="T T T"
Li 0.000 0.000 0.000
Hg 1.365 1.365 6.948
W 0.000 0.000 4.520
W 1.365 1.365 2.257
```

## Properties
Total energy, eV/cell: -26.1
Total moment, μB per cell: 0.0